LaSn2Pd3 | GGA-PBE | optimized geometry

Cell lengths 4.7173, 8.9062, 7.5180 Å; angles 116.71, 90.00, 105.36 degrees
Last column: nearest neighbours and their distance in Å.
Fractional positions:
Sn1 0.1652 0.3303 0.6283  7 Pd 2.69-2.91
Sn2 0.5231 0.0462 0.2132  4 Pd 2.62-2.73, 1 Sn 2.92
Sn3 0.4769 0.9538 0.7868  4 Pd 2.62-2.73, 1 Sn 2.92
Sn4 0.8348 0.6697 0.3717  7 Pd 2.69-2.91
Pd1 0.3764 0.7528 0.2660  3 Sn 2.69-2.73, 3 Pd 2.92-2.94
Pd2 0.6236 0.2472 0.7340  3 Sn 2.69-2.73, 3 Pd 2.92-2.94
Pd3 0.3037 0.6074 0.5482  4 Sn 2.66-2.88, 3 Pd 2.87-2.92
Pd4 0.9853 0.9706 0.3056  4 Sn 2.62-2.91, 3 Pd 2.72-2.94
Pd5 0.0147 0.0294 0.6944  4 Sn 2.62-2.91, 3 Pd 2.72-2.94
Pd6 0.6963 0.3926 0.4518  4 Sn 2.66-2.88, 3 Pd 2.87-2.92
La1 0.8419 0.6839 0.8886  2 Pd 2.95-3.06
La2 0.1581 0.3161 0.1114  2 Pd 2.95-3.06

Properties
As for the space-group type: C2/m (12). The value obtained for the formation energy from the elements is -0.679 eV/atom. The density of states at the Fermi level comes out at 6.67 states/eV per cell.